Computed, not measured: a relaxed ScMn2Fe crystal at the PBE level of DFT.

Cell and atoms, written as POSCAR:
```
ScMn2Fe
1.0
-2.0491 0.4956 -2.0588
-2.1151 -0.3391 2.0235
0.2200 6.1382 1.2587
Mn Fe Sc
2 1 1
direct
0.0000 0.0000 0.0098
0.5000 0.5000 0.2032
0.5000 0.5000 0.7846
0.0000 0.0000 0.5024
```

* space-group type: No. 99
* energy: -32.7 eV/cell
* formation energy from the elements: 0.096 eV per atom
* energy relative to the lowest polymorph listed for this composition: 0 meV per atom
* Fermi-level density of states: 5.660 states/eV/cell

Computed, not measured: a relaxed Cu4Si crystal at the PBE level of DFT.

Cell and atoms, written as POSCAR:
```
Cu4Si
1.0
-3.9016 1.7854 1.1353
2.5801 -2.9532 2.0785
2.5876 3.5951 0.2796
Cu Si
4 1
direct
0.3933 0.1991 0.5924
0.6067 0.8009 0.4076
0.1991 0.6067 0.8058
0.8009 0.3933 0.1942
0.0000 0.0000 0.0000
```

* space-group type: No. 87
* energy: -22.1 eV/cell
* formation energy without anion corrections: -0.0540 eV per atom
* energy relative to the lowest polymorph listed for this composition: 0 meV per atom
* Fermi-level density of states: 1.351 states/eV/cell

Computed, not measured: a relaxed NdAl2Pt2 crystal at the PBE level of DFT.

Cell and atoms, written as POSCAR:
```
NdAl2Pt2
1.0
3.8905 0.0000 -1.4537
-0.5431 3.8524 -1.4537
0.1590 0.1830 6.3585
Pt Nd Al
2 1 2
direct
0.6211 0.6211 0.2422
0.3789 0.3789 0.7578
0.0000 0.0000 0.0000
0.7500 0.2500 0.5000
0.2500 0.7500 0.5000
```

* space-group type: No. 139
* energy: -29.9 eV/cell
* formation energy from the elements: -1.114 eV per atom
* Fermi-level density of states: 3.453 states/eV/cell

Computed, not measured: a relaxed Ir3Au crystal at the PBE level of DFT.

Cell and atoms, written as POSCAR:
```
Ir3Au
1.0
-0.5061 0.5548 2.6787
-1.6083 -2.2639 0.1650
6.3231 -4.3395 2.0934
Ir Au
3 1
direct
0.0000 0.0000 0.5000
0.5000 0.5000 0.2677
0.5000 0.5000 0.7323
0.0000 0.0000 0.0000
```

* space-group type: No. 123
* energy: -29.1 eV/cell
* formation energy from the elements: 0.199 eV per atom
* Fermi-level density of states: 4.445 states/eV/cell

Computed, not measured: a relaxed TcP2IrCl crystal at the PBE level of DFT.

Cell and atoms, written as POSCAR:
```
TcP2IrCl
1.0
-0.6617 3.6938 2.6108
-4.5231 -0.5144 -0.4185
-0.0482 -2.8709 4.0497
P Ir Tc Cl
2 1 1 1
direct
0.0000 0.5000 0.0000
0.5000 0.0000 0.0000
0.0000 0.0000 0.0000
0.5000 0.5000 0.5000
0.0000 0.0000 0.5000
```

* space-group type: No. 123
* energy: -26.7 eV/cell
* formation energy without anion corrections: 1.0394 eV per atom
* energy relative to the lowest polymorph listed for this composition: 0 meV per atom
* Fermi-level density of states: 3.767 states/eV/cell

Computed, not measured: a relaxed RbLaNi crystal at the PBE level of DFT.

Cell and atoms, written as POSCAR:
```
RbLaNi
1.0
3.9513 -0.0004 -0.0196
0.0010 3.9491 -0.0033
0.0620 0.0196 7.3061
Ni La Rb
1 1 1
direct
0.7068 0.0553 0.2522
0.2062 0.5550 0.2518
0.6992 0.0513 0.7515
```

* space-group type: No. 1
* energy: -11.2 eV/cell
* formation energy from the elements: 0.145 eV per atom
* energy relative to the lowest polymorph listed for this composition: 130 meV per atom
* Fermi-level density of states: 2.567 states/eV/cell

Computed, not measured: a relaxed NaMnSbSe3 crystal at the PBE level of DFT.

Cell and atoms, written as POSCAR:
```
NaMnSbSe3
1.0
-1.4899 0.5347 -3.8171
0.3211 -8.9854 -1.3839
-8.5897 0.4536 3.4162
Na Sb Se Mn
2 2 6 2
direct
0.7500 0.8206 0.7820
0.2500 0.1794 0.2180
0.7500 0.3494 0.8603
0.2500 0.6506 0.1397
0.2500 0.1345 0.8766
0.7500 0.8655 0.1234
0.2500 0.5874 0.8544
0.7500 0.1912 0.4801
0.2500 0.8088 0.5199
0.7500 0.4126 0.1456
0.2500 0.0937 0.6020
0.7500 0.9063 0.3980
```

* space-group type: No. 11
* energy: -56.5 eV/cell
* formation energy without anion corrections: -0.5268 eV per atom

Computed, not measured: a relaxed InSnW2 crystal at the PBE level of DFT.

Cell and atoms, written as POSCAR:
```
InSnW2
1.0
1.1555 1.4393 4.3227
2.5405 3.9127 0.5735
-1.9951 3.8539 1.8055
Sn In W
1 1 2
direct
0.5000 0.5000 0.5000
0.0000 0.0000 0.0000
0.7500 0.7500 0.7500
0.2500 0.2500 0.2500
```

* space-group type: No. 225
* energy: -29.2 eV/cell
* formation energy from the elements: 0.863 eV per atom
* energy relative to the lowest polymorph listed for this composition: 0 meV per atom
* Fermi-level density of states: 2.545 states/eV/cell

Computed, not measured: a relaxed RbCeSnBr6 crystal at the PBE level of DFT.

Cell and atoms, written as POSCAR:
```
RbCeSnBr6
1.0
-4.5295 8.1932 5.6452
-4.0710 -6.9477 6.8171
10.6494 -0.0954 -1.9021
Br Sn Rb Ce
12 2 2 2
direct
0.8207 0.0707 0.6414
0.4259 0.6725 0.2580
0.4162 0.6662 0.8323
0.1793 0.9293 0.3586
0.5741 0.9146 0.7420
0.5741 0.3275 0.7420
0.1680 0.9146 0.7420
0.8320 0.0854 0.2580
0.8320 0.6725 0.2580
0.5838 0.3338 0.1677
0.4259 0.0854 0.2580
0.1680 0.3275 0.7420
0.5000 0.5000 0.0000
0.5000 0.0000 0.0000
0.8013 0.5513 0.6025
0.1987 0.4487 0.3975
0.5000 0.0000 0.5000
0.0000 0.0000 0.5000
```

* space-group type: No. 74
* energy: -66.9 eV/cell
* formation energy without anion corrections: -1.3915 eV per atom
* Fermi-level density of states: 16.287 states/eV/cell

Computed, not measured: a relaxed Nb2CrSb crystal at the PBE level of DFT.

Cell and atoms, written as POSCAR:
```
Nb2CrSb
1.0
3.9333 0.0000 0.0000
0.0000 3.9333 0.0000
1.9666 1.9666 10.1192
Sb Cr Nb
2 2 4
direct
0.7500 0.2500 0.5000
0.0000 0.0000 0.0000
0.2500 0.7500 0.5000
0.5000 0.5000 0.0000
0.3750 0.3769 0.7500
0.1269 0.6250 0.2500
0.8750 0.8731 0.7500
0.6231 0.1250 0.2500
```

* space-group type: No. 122
* energy: -64.0 eV/cell
* formation energy without anion corrections: 0.4769 eV per atom
* Fermi-level density of states: 7.180 states/eV/cell

Computed, not measured: a relaxed Er3RuRh2 crystal at the PBE level of DFT.

Cell and atoms, written as POSCAR:
```
Er3RuRh2
1.0
-1.2653 -2.0599 4.1375
-1.9625 -7.1828 -1.4013
6.3869 -1.9379 0.9885
Er Ru Rh
6 2 4
direct
0.1676 0.6648 0.7525
0.8324 0.3352 0.2475
0.4999 0.0000 0.2481
0.8325 0.3352 0.7525
0.5001 0.0000 0.7519
0.1675 0.6648 0.2475
0.3338 0.3325 0.0000
0.6662 0.6675 0.0000
0.3340 0.3321 0.5000
0.0000 0.0000 0.0000
0.0000 0.0000 0.5000
0.6660 0.6679 0.5000
```

* space-group type: No. 65
* energy: -84.8 eV/cell
* formation energy from the elements: -0.787 eV per atom
* Fermi-level density of states: 4.030 states/eV/cell

Computed, not measured: a relaxed EuZnPb crystal at the PBE level of DFT.

Cell and atoms, written as POSCAR:
```
EuZnPb
1.0
3.8969 0.0000 0.0000
0.0000 4.8986 0.0000
0.0000 -2.4493 4.2423
Zn Eu Pb
1 1 1
direct
0.1424 0.0000 0.0000
0.6717 0.6667 0.3333
0.1860 0.3333 0.6667
```

* space-group type: No. 156
* energy: -16.3 eV/cell
* formation energy from the elements: -0.339 eV per atom
* Fermi-level density of states: 6.105 states/eV/cell

Computed, not measured: a relaxed NdThSiGe crystal at the PBE level of DFT.

Cell and atoms, written as POSCAR:
```
NdThSiGe
1.0
-0.6418 -3.9759 1.7892
4.0192 -0.3159 0.7397
-0.4040 4.3271 4.0433
Nd Th Ge Si
1 1 1 1
direct
0.1405 0.0000 0.2810
0.8626 0.5000 0.7252
0.5783 0.5000 0.1567
0.4186 0.0000 0.8371
```

* space-group type: No. 38
* energy: -25.2 eV/cell
* formation energy without anion corrections: -0.7380 eV per atom
* Fermi-level density of states: 3.212 states/eV/cell

Computed, not measured: a relaxed CrCoTe2 crystal at the PBE level of DFT.

Cell and atoms, written as POSCAR:
```
CrCoTe2
1.0
-0.2352 4.6089 -1.0245
-3.9133 0.3837 2.6246
1.8582 0.6883 2.6699
Cr Te Co
1 2 1
direct
0.0000 0.5000 0.5000
0.0000 0.0000 0.0000
0.5000 0.5000 0.0000
0.5000 0.0000 0.5000
```

* space-group type: No. 123
* energy: -21.6 eV/cell
* formation energy without anion corrections: 0.3605 eV per atom
* energy relative to the lowest polymorph listed for this composition: 466 meV per atom
* Fermi-level density of states: 2.817 states/eV/cell

Computed, not measured: a relaxed Cs2Tl2Au crystal at the PBE level of DFT.

Cell and atoms, written as POSCAR:
```
Cs2Tl2Au
1.0
6.6708 0.0000 2.5370
-0.7473 4.4891 1.9649
0.9720 -0.3767 7.4828
Tl Au Cs
2 1 2
direct
0.7760 0.5000 0.0000
0.2240 0.5000 0.0000
0.0000 0.0000 0.0000
0.3120 0.8120 0.3760
0.6880 0.1880 0.6240
```

* space-group type: No. 71
* energy: -10.4 eV/cell
* formation energy from the elements: -0.142 eV per atom
* energy relative to the lowest polymorph listed for this composition: 0 meV per atom
* Fermi-level density of states: 2.316 states/eV/cell

Computed, not measured: a relaxed GeIrSeBr2 crystal at the PBE level of DFT.

Cell and atoms, written as POSCAR:
```
GeIrSeBr2
1.0
5.1171 0.0000 0.0000
0.0000 5.1171 0.0000
0.0000 0.0000 5.1750
Ir Ge Br Se
1 1 2 1
direct
0.5000 0.5000 0.5000
0.0000 0.0000 0.0000
0.5000 0.0000 0.0000
0.0000 0.5000 0.0000
0.0000 0.0000 0.5000
```

* space-group type: No. 123
* energy: -14.9 eV/cell
* formation energy without anion corrections: 1.0857 eV per atom
* energy relative to the lowest polymorph listed for this composition: 659 meV per atom
* Fermi-level density of states: 5.560 states/eV/cell

Computed, not measured: a relaxed WBrN3 crystal at the PBE level of DFT.

Cell and atoms, written as POSCAR:
```
WBrN3
1.0
-3.7815 -0.5539 1.2448
1.3143 -2.4507 2.9022
0.3591 3.1374 2.4867
N Br W
3 1 1
direct
0.5000 0.0000 0.0000
0.0000 0.5000 0.0000
0.0000 0.0000 0.5000
0.5000 0.5000 0.5000
0.0000 0.0000 0.0000
```

* space-group type: No. 221
* energy: -34.2 eV/cell
* formation energy without anion corrections: 1.0856 eV per atom
* Fermi-level density of states: 4.397 states/eV/cell

Computed, not measured: a relaxed CaLa2Ag crystal at the PBE level of DFT.

Cell and atoms, written as POSCAR:
```
CaLa2Ag
1.0
-6.5139 0.4323 -2.5681
-4.3088 0.2446 -5.5306
-2.2182 -4.9798 -1.3356
La Ag Ca
2 1 1
direct
0.0354 0.0354 0.9647
0.4646 0.4646 0.5353
0.7500 0.7500 0.7500
0.2500 0.2500 0.2500
```

* space-group type: No. 71
* energy: -15.1 eV/cell
* formation energy from the elements: -0.092 eV per atom
* energy relative to the lowest polymorph listed for this composition: 0 meV per atom
* Fermi-level density of states: 5.951 states/eV/cell

Computed, not measured: a relaxed CoRhCl crystal at the PBE level of DFT.

Cell and atoms, written as POSCAR:
```
CoRhCl
1.0
2.9639 0.0000 0.0000
-1.4820 2.5669 0.0000
0.0000 0.0000 5.9205
Cl Co Rh
1 1 1
direct
0.0000 0.0000 0.0350
0.6667 0.3333 0.3252
0.3333 0.6667 0.6398
```

* space-group type: No. 156
* energy: -15.5 eV/cell
* formation energy without anion corrections: 0.2821 eV per atom
* energy relative to the lowest polymorph listed for this composition: 0 meV per atom
* Fermi-level density of states: 3.864 states/eV/cell

Computed, not measured: a relaxed BaFeAu crystal at the PBE level of DFT.

Cell and atoms, written as POSCAR:
```
BaFeAu
1.0
-4.8605 -0.6385 0.4698
-1.7686 -4.2604 1.7245
-2.0373 -0.1874 4.4796
Au Ba Fe
1 1 1
direct
0.0000 0.0000 0.0000
0.5000 0.5000 0.5000
0.7500 0.7500 0.7500
```

* space-group type: No. 216
* energy: -12.5 eV/cell
* formation energy from the elements: 0.382 eV per atom
* Fermi-level density of states: 2.544 states/eV/cell